## KHg6Sb2 (PBE-GGA)

Data for crystalline KHg6Sb2 at its relaxed geometry.

a b c (Å): 6.734 6.734 7.904
angles (deg): 117.77 117.77 69.30
Sites, in units of the cell vectors:
K 0.000 0.000 0.000
Hg 0.075 0.634 0.306
Hg 0.295 0.295 0.524
Hg 0.366 0.925 0.694
Hg 0.634 0.075 0.306
Hg 0.705 0.705 0.476
Hg 0.925 0.366 0.694
Sb 0.393 0.393 0.052
Sb 0.607 0.607 0.948

VASP energy ... -1.303 eV/atom